w) A geometry-optimized Fe2AuSO structure. Source: Alexandria, functional PBE+U.

extended XYZ file:
```
5
Lattice="5.0807 0.0000 0.0000 0.0000 5.0807 0.0000 0.0000 0.0000 3.9278" Properties=species:S:1:pos:R:3 pbc="T T T"
Fe 0.0000 2.5403 0.0000
Fe 2.5403 0.0000 0.0000
Au 0.0000 0.0000 0.0000
S 2.5403 2.5403 1.9639
O 0.0000 0.0000 1.9639
```

Total magnetic moment (μB/cell): 7.9
ρ (g/cm3): 5.84
Space group: P4/mmm (123)

x) A geometry-optimized Fe2AuSO structure. Source: Alexandria, functional PBE+U.

extended XYZ file:
```
5
Lattice="4.4167 0.0000 0.0000 0.0000 4.4167 0.0000 0.0000 0.0000 4.6404" Properties=species:S:1:pos:R:3 pbc="T T T"
Fe 0.0000 2.2084 0.0000
Fe 2.2084 0.0000 0.0000
Au 0.0000 0.0000 2.3202
S 0.0000 0.0000 0.0000
O 2.2084 2.2084 2.3202
```

Total magnetic moment (μB/cell): 7.0
ρ (g/cm3): 6.54
Space group: P4/mmm (123)

Of all the structures shown, which is most stable? w), and x) is the least stable.